# 1
A relaxed NaAgPdW crystal. Source: the Open Quantum Materials Database, functional PBE.

Results
Energy above the lowest structure with this stoichiometry (eV/atom): 0.058
E (eV per atom): -4.80

Cell lengths 4.5259, 4.5259, 4.5259 Å; angles 60.00, 60.00, 60.00 degrees
Closest atoms and distances in Å follow each position.
Atoms (fractional coordinates):
W: 0.0000 0.0000 0.0000  4 Na 2.77, 4 Pd 2.77
Ag: 0.5000 0.5000 0.5000  4 Na 2.77, 4 Pd 2.77
Na: 0.7500 0.7500 0.7500  4 Ag 2.77, 4 W 2.77
Pd: 0.2500 0.2500 0.2500  4 Ag 2.77, 4 W 2.77



# 2
A relaxed KSmSeO crystal. Source: the Open Quantum Materials Database, functional PBE.

Results
Energy above the lowest structure with this stoichiometry (eV/atom): 0.180
E (eV per atom): -5.62

Cell lengths 4.1880, 4.1880, 10.2077 Å; angles 90.00, 90.00, 90.00 degrees
Closest atoms and distances in Å follow each position.
Atoms (fractional coordinates):
Sm: 0.2500 0.2500 0.1024  4 O 2.34
Sm: 0.7500 0.7500 0.8976  4 O 2.34
Se: 0.2500 0.2500 0.7261  4 K 3.12, 4 Sm 3.44
Se: 0.7500 0.7500 0.2739  4 K 3.12, 4 Sm 3.44
K: 0.7500 0.2500 0.5000  4 K 2.96, 4 Se 3.12
K: 0.2500 0.7500 0.5000  4 K 2.96, 4 Se 3.12
O: 0.2500 0.7500 0.0000  4 Sm 2.34
O: 0.7500 0.2500 0.0000  4 Sm 2.34



# 3
A relaxed InAgSn crystal. Source: the Open Quantum Materials Database, functional PBE.

Results
E (eV per atom): -3.08

Cell lengths 5.2546, 5.2546, 3.0538 Å; angles 90.00, 90.00, 120.00 degrees
Closest atoms and distances in Å follow each position.
Atoms (fractional coordinates):
Sn: 0.6667 0.3333 0.0000  3 Ag 3.03, 3 In 3.03, 2 Sn 3.05
Ag: 0.0000 0.0000 0.0000  3 In 3.03, 3 Sn 3.03, 2 Ag 3.05
In: 0.3333 0.6667 0.0000  3 Ag 3.03, 3 Sn 3.03, 2 In 3.05



# 4
A relaxed Hf3Zr4 crystal. Source: the Open Quantum Materials Database, functional PBE.

Results
E (eV per atom): -9.15

Cell lengths 8.5059, 8.5059, 5.1234 Å; angles 90.00, 90.00, 60.00 degrees
Closest atoms and distances in Å follow each position.
Atoms (fractional coordinates):
Hf: 0.2874 0.5730 0.0000  6 Hf 3.15-3.18, 6 Zr 3.16-3.25
Hf: 0.4301 0.8539 0.0000  6 Hf 3.15-3.18, 6 Zr 3.16-3.25
Hf: 0.2413 0.8079 0.5000  6 Hf 3.15-3.18, 6 Zr 3.16-3.25
Hf: 0.6650 0.6651 0.5000  6 Hf 3.15-3.18, 6 Zr 3.16-3.25
Hf: 0.5222 0.3841 0.5000  6 Hf 3.15-3.18, 6 Zr 3.16-3.25
Hf: 0.7111 0.4302 0.0000  6 Hf 3.15-3.18, 6 Zr 3.16-3.25
Zr: 0.0979 0.5254 0.5000  5 Hf 3.16-3.25, 7 Zr 3.18-3.25
Zr: 0.8545 0.7127 0.0000  5 Hf 3.16-3.25, 7 Zr 3.18-3.25
Zr: 0.9481 0.2407 0.5000  5 Hf 3.16-3.25, 7 Zr 3.18-3.25
Zr: 0.8095 0.9524 0.5000  9 Zr 3.18-3.21, 3 Hf 3.24
Zr: 0.3826 0.0910 0.5000  5 Hf 3.16-3.25, 7 Zr 3.18-3.25
Zr: 0.0043 0.9973 0.0000  5 Hf 3.16-3.25, 7 Zr 3.18-3.25
Zr: 0.5698 0.1471 0.0000  5 Hf 3.16-3.25, 7 Zr 3.18-3.25
Zr: 0.1429 0.2857 0.0000  9 Zr 3.18-3.21, 3 Hf 3.24



# 5
A relaxed Li2Nb crystal. Source: the Open Quantum Materials Database, functional PBE.

Results
Energy above the lowest structure with this stoichiometry (eV/atom): 0.000
E (eV per atom): -4.16

Cell lengths 4.6529, 4.6529, 2.5559 Å; angles 90.00, 90.00, 120.00 degrees
Closest atoms and distances in Å follow each position.
Atoms (fractional coordinates):
Nb: 0.0000 0.0000 0.0000  2 Nb 2.56
Li: 0.6667 0.3333 0.5000  5 Li 2.56-2.69
Li: 0.3333 0.6667 0.5000  5 Li 2.56-2.69



# 6
A relaxed PrDyAu6 crystal. Source: the Open Quantum Materials Database, functional PBE.

Results
E (eV per atom): -4.31

Cell lengths 5.0792, 6.2961, 5.1806 Å; angles 90.00, 90.00, 90.00 degrees
Closest atoms and distances in Å follow each position.
Atoms (fractional coordinates):
Au: 0.5000 0.7659 0.6625  7 Au 2.95-3.15, 2 Pr 3.07-3.10, 2 Dy 3.09
Au: 0.5000 0.0000 0.1658  8 Au 2.97-3.12, 2 Dy 3.03, 2 Pr 3.15
Au: 0.0000 0.2491 0.3410  8 Au 2.95-3.16, 2 Dy 3.01-3.05, 2 Pr 3.14
Au: 0.0000 0.7509 0.3410  8 Au 2.95-3.16, 2 Dy 3.01-3.05, 2 Pr 3.14
Au: 0.5000 0.2341 0.6625  7 Au 2.95-3.15, 2 Pr 3.07-3.10, 2 Dy 3.09
Au: 0.0000 0.5000 0.8224  8 Au 2.95-3.15, 2 Pr 3.08, 2 Dy 3.15
Pr: 0.5000 0.5000 0.1588  12 Au 3.07-3.15
Dy: 0.0000 0.0000 0.8459  12 Au 3.01-3.15



# 7
A relaxed TlW2S2Br6 crystal. Source: the Open Quantum Materials Database, functional PBE.

Results
E (eV per atom): -4.70

Cell lengths 7.2935, 7.2935, 10.8002 Å; angles 106.14, 106.14, 36.60 degrees
Closest atoms and distances in Å follow each position.
Atoms (fractional coordinates):
Tl: 0.5000 0.5000 0.0000  8 Br 3.44-3.54, 2 S 3.85
W: 0.0027 0.0027 0.6411  2 S 2.29
W: 0.9973 0.9973 0.3589  2 S 2.29
Br: 0.1569 0.1569 0.5548  2 W 2.57
Br: 0.1378 0.1378 0.8669  1 W 2.60
Br: 0.8723 0.8723 0.7737  1 W 2.61
Br: 0.8622 0.8622 0.1331  1 W 2.60
Br: 0.8431 0.8431 0.4452  2 W 2.57
Br: 0.1277 0.1277 0.2263  1 W 2.61
S: 0.5025 0.5025 0.6448  2 W 2.29
S: 0.4975 0.4975 0.3552  2 W 2.29



# 8
A relaxed GdBNO crystal. Source: the Open Quantum Materials Database, functional PBE.

Results
Energy above the lowest structure with this stoichiometry (eV/atom): 0.349
E (eV per atom): -7.74

Cell lengths 5.1273, 5.1672, 7.2886 Å; angles 90.00, 90.00, 90.00 degrees
Closest atoms and distances in Å follow each position.
Atoms (fractional coordinates):
Gd: 0.5475 0.0079 0.8464  1 O 2.25, 1 N 2.47
Gd: 0.0475 0.9921 0.1536  1 O 2.25, 1 N 2.47
Gd: 0.0475 0.4921 0.8464  1 O 2.25, 1 N 2.47
Gd: 0.5475 0.5079 0.1536  1 O 2.25, 1 N 2.47
B: 0.5503 0.0242 0.3713  1 O 1.27, 1 N 1.36
B: 0.0503 0.9758 0.6287  1 O 1.27, 1 N 1.36
B: 0.5503 0.5242 0.6287  1 O 1.27, 1 N 1.36
B: 0.0503 0.4758 0.3713  1 O 1.27, 1 N 1.36
N: 0.5467 0.0074 0.1848  1 B 1.36
N: 0.0467 0.9926 0.8152  1 B 1.36
N: 0.0467 0.4926 0.1848  1 B 1.36
N: 0.5467 0.5074 0.8152  1 B 1.36
O: 0.0579 0.9251 0.4579  1 B 1.27
O: 0.0579 0.4251 0.5421  1 B 1.27
O: 0.5579 0.0749 0.5421  1 B 1.27
O: 0.5579 0.5749 0.4579  1 B 1.27



# 9
A relaxed HoSnTeAuSe2 crystal. Source: the Open Quantum Materials Database, functional PBE.

Results
E (eV per atom): -4.46

Cell lengths 7.3678, 7.3678, 11.0512 Å; angles 90.00, 90.00, 147.80 degrees
Closest atoms and distances in Å follow each position.
Atoms (fractional coordinates):
Ho: 0.0000 0.0000 0.5000  4 Se 2.90, 2 Te 3.14
Ho: 0.0000 0.0000 0.0000  4 Se 2.90, 2 Te 3.14
Sn: 0.7988 0.2012 0.2500  4 Se 3.10, 2 Au 3.17, 2 Te 3.42
Sn: 0.2012 0.7988 0.7500  4 Se 3.10, 2 Au 3.17, 2 Te 3.42
Te: 0.8947 0.1053 0.7500  2 Au 2.80, 2 Ho 3.14
Te: 0.1053 0.8947 0.2500  2 Au 2.80, 2 Ho 3.14
Se: 0.6387 0.3613 0.5542  1 Au 2.65, 2 Ho 2.90
Se: 0.3613 0.6387 0.4458  1 Au 2.65, 2 Ho 2.90
Se: 0.3613 0.6387 0.0542  1 Au 2.65, 2 Ho 2.90
Se: 0.6387 0.3613 0.9458  1 Au 2.65, 2 Ho 2.90
Au: 0.4697 0.5303 0.2500  2 Se 2.65, 2 Te 2.80
Au: 0.5303 0.4697 0.7500  2 Se 2.65, 2 Te 2.80



# 10
A relaxed Mg3Ag5 crystal. Source: the Open Quantum Materials Database, functional PBE.

Results
E (eV per atom): -2.54

Cell lengths 3.4009, 3.4009, 12.3167 Å; angles 90.00, 90.00, 90.00 degrees
Closest atoms and distances in Å follow each position.
Atoms (fractional coordinates):
Mg: 0.0000 0.0000 0.1290  9 Ag 2.82-3.06
Mg: 0.5000 0.5000 0.5000  10 Ag 2.84-3.10
Mg: 0.0000 0.0000 0.8710  9 Ag 2.82-3.06
Ag: 0.0000 0.0000 0.6224  5 Mg 2.84-3.06, 5 Ag 2.88-3.01
Ag: 0.5000 0.5000 0.7514  5 Mg 2.82-3.10, 5 Ag 2.88-3.06
Ag: 0.5000 0.5000 0.0000  8 Mg 2.88, 2 Ag 3.06
Ag: 0.0000 0.0000 0.3776  5 Mg 2.84-3.06, 5 Ag 2.88-3.01
Ag: 0.5000 0.5000 0.2486  5 Mg 2.82-3.10, 5 Ag 2.88-3.06



# 11
A relaxed UOs crystal. Source: the Open Quantum Materials Database, functional PBE.

Results
E (eV per atom): -11.19

Cell lengths 3.8994, 3.8994, 3.8994 Å; angles 60.00, 60.00, 60.00 degrees
Closest atoms and distances in Å follow each position.
Atoms (fractional coordinates):
U: 0.5000 0.5000 0.5000  6 Os 2.76
Os: 0.0000 0.0000 0.0000  6 U 2.76



# 12
A relaxed LaCo2SiGe crystal. Source: the Open Quantum Materials Database, functional PBE.

Results
E (eV per atom): -6.50

Cell lengths 5.8415, 5.8415, 5.8415 Å; angles 139.52, 139.52, 58.59 degrees
Closest atoms and distances in Å follow each position.
Atoms (fractional coordinates):
Ge: 0.6329 0.6329 0.0000  4 Co 2.37
La: 0.9987 0.9987 0.0000  4 Ge 3.17, 4 Si 3.19, 8 Co 3.20-3.30
Co: 0.7546 0.2546 0.5000  2 Si 2.28, 2 Ge 2.37
Co: 0.2546 0.7546 0.5000  2 Si 2.28, 2 Ge 2.37
Si: 0.3591 0.3591 0.0000  4 Co 2.28